1.
# TbDySbSe PBE-GGA optimized geometry
# * uncorrected formation energy: -1443 meV per atom
# * D(E_F): 1.33 states/eV/cell
# * spin magnetization: 0.00 μB/f.u.
data_TbDySbSe
_chemical_formula_sum 'Tb1 Dy1 Sb1 Se1'
_cell_length_a 4.257
_cell_length_b 4.257
_cell_length_c 6.012
_cell_angle_alpha 90.00
_cell_angle_beta 90.00
_cell_angle_gamma 90.00
_symmetry_space_group_name_H-M 'P 4/m m m'
_symmetry_Int_Tables_number 123
_symmetry_space_group_name_Hall '-P 4 2'
loop_
_atom_site_label
_atom_site_type_symbol
_atom_site_fract_x
_atom_site_fract_y
_atom_site_fract_z
Tb1 Tb 0.000 0.000 0.000
Dy1 Dy 0.500 0.500 0.500
Sb1 Sb 0.500 0.500 0.000
Se1 Se 0.000 0.000 0.500

2.
# BeAgPt2 PBE-GGA optimized geometry
# * D(E_F): 2.83 states/eV/cell
# * spin magnetization: 0.00 μB/f.u.
data_BeAgPt2
_chemical_formula_sum 'Be1 Ag1 Pt2'
_cell_length_a 2.880
_cell_length_b 4.482
_cell_length_c 4.614
_cell_angle_alpha 90.00
_cell_angle_beta 90.00
_cell_angle_gamma 90.00
_symmetry_space_group_name_H-M 'P m m m'
_symmetry_Int_Tables_number 47
loop_
_symmetry_equiv_pos_as_xyz
'x,y,z'
'-x,-y,-z'
'-x,-y,z'
'x,y,-z'
'x,-y,-z'
'-x,y,z'
'-x,y,-z'
'x,-y,z'
loop_
_atom_site_label
_atom_site_type_symbol
_atom_site_fract_x
_atom_site_fract_y
_atom_site_fract_z
Be1 Be 0.000 0.000 0.000
Ag1 Ag 0.500 0.000 0.500
Pt1 Pt 0.000 0.500 0.500
Pt2 Pt 0.500 0.500 0.000

3.
# NaLuGe2 PBE-GGA optimized geometry
# * D(E_F): 1.13 states/eV/cell
# * spin magnetization: 0.00 μB/f.u.
data_NaLuGe2
_chemical_formula_sum 'Na1 Lu1 Ge2'
_cell_length_a 4.449
_cell_length_b 4.449
_cell_length_c 4.145
_cell_angle_alpha 90.00
_cell_angle_beta 90.00
_cell_angle_gamma 90.00
_symmetry_space_group_name_H-M 'P 4/m m m'
_symmetry_Int_Tables_number 123
_symmetry_space_group_name_Hall '-P 4 2'
loop_
_atom_site_label
_atom_site_type_symbol
_atom_site_fract_x
_atom_site_fract_y
_atom_site_fract_z
Na1 Na 0.000 0.000 0.000
Lu1 Lu 0.500 0.500 0.000
Ge1 Ge 0.000 0.500 0.500

4.
# LiTb4DySe8 PBE-GGA optimized geometry
# * uncorrected formation energy: -1783 meV per atom
# * D(E_F): 0.00 states/eV/cell
# * spin magnetization: 0.00 μB/f.u.
data_LiTb4DySe8
_chemical_formula_sum 'Li3 Tb12 Dy3 Se24'
_cell_length_a 8.3972
_cell_length_b 8.3972
_cell_length_c 20.5322
_cell_angle_alpha 90.00
_cell_angle_beta 90.00
_cell_angle_gamma 120.00
_symmetry_space_group_name_H-M 'R 3 m'
_symmetry_Int_Tables_number 160
_symmetry_space_group_name_Hall 'R 3 -2"'
loop_
_atom_site_label
_atom_site_type_symbol
_atom_site_fract_x
_atom_site_fract_y
_atom_site_fract_z
Li1 Li 0.0000 0.0000 0.0000
Tb1 Tb 0.0000 0.0000 0.2499
Tb2 Tb 0.1735 0.3469 0.4568
Dy1 Dy 0.0000 0.0000 0.6304
Se1 Se 0.0000 0.0000 0.3836
Se2 Se 0.0000 0.0000 0.8700
Se3 Se 0.0144 0.5072 0.3766
Se4 Se 0.1785 0.3571 0.2060

5.
# TaNiRu PBE-GGA optimized geometry
# * D(E_F): 10.76 states/eV/cell
# * spin magnetization: 0.00 μB/f.u.
data_TaNiRu
_chemical_formula_sum 'Ta4 Ni4 Ru4'
_cell_length_a 8.860
_cell_length_b 3.818
_cell_length_c 5.435
_cell_angle_alpha 90.00
_cell_angle_beta 109.80
_cell_angle_gamma 90.00
_symmetry_space_group_name_H-M 'C 1 m 1'
_symmetry_Int_Tables_number 8
loop_
_symmetry_equiv_pos_as_xyz
'x,y,z'
'x,-y,z'
'x+1/2,y+1/2,z'
'x+1/2,-y+1/2,z'
loop_
_atom_site_label
_atom_site_type_symbol
_atom_site_fract_x
_atom_site_fract_y
_atom_site_fract_z
Ta1 Ta 0.000 0.000 0.000
Ta2 Ta 0.160 0.500 0.772
Ni1 Ni 0.169 0.500 0.302
Ni2 Ni 0.320 0.000 0.629
Ru1 Ru 0.331 0.000 0.141
Ru2 Ru 0.485 0.500 0.493

6.
# Ba3CaHg2 PBE-GGA optimized geometry
# * D(E_F): 5.92 states/eV/cell
# * spin magnetization: 0.00 μB/f.u.
data_Ba3CaHg2
_chemical_formula_sum 'Ba3 Ca1 Hg2'
_cell_length_a 4.212
_cell_length_b 4.212
_cell_length_c 14.279
_cell_angle_alpha 90.00
_cell_angle_beta 90.00
_cell_angle_gamma 90.00
_symmetry_space_group_name_H-M 'P 4/m m m'
_symmetry_Int_Tables_number 123
_symmetry_space_group_name_Hall '-P 4 2'
loop_
_atom_site_label
_atom_site_type_symbol
_atom_site_fract_x
_atom_site_fract_y
_atom_site_fract_z
Ba1 Ba 0.000 0.000 0.000
Ba2 Ba 0.000 0.000 0.290
Ca1 Ca 0.500 0.500 0.500
Hg1 Hg 0.500 0.500 0.153

In the order shown, the computed VASP energy values come out to -0.2078, -0.1717, -0.1504, -0.2044, -0.3344, -0.0642 Ha/atom.